1.
DFT (PBE) results for a relaxed structure of Pu3RuPt.

DFT formation energy ... -293 meV per atom
Total energy ... -119.6 eV for the cell shown
ρ ... 16.5 Mg/m³
Calculated volume ... 207.5 Å³/cell
Space-group type ... No. 63

a b c (Å): 8.5693 8.5693 4.9934
angles (deg): 90.00 90.00 145.54
Fractional coordinates of all 10 atoms:
Pu1 0.0511 0.9489 0.7500
Pu2 0.2464 0.7536 0.7500
Pu3 0.4382 0.5618 0.7500
Pu4 0.5618 0.4382 0.2500
Pu5 0.7536 0.2464 0.2500
Pu6 0.9489 0.0511 0.2500
Ru1 0.3533 0.6467 0.2500
Ru2 0.6467 0.3533 0.7500
Pt1 0.1503 0.8497 0.2500
Pt2 0.8497 0.1503 0.7500

***

2.
DFT (PBE) results for a relaxed structure of SbTe2H2Pd7.

Total energy ... -56.3 eV for the cell shown
ρ ... 10.0 Mg/m³
Calculated volume ... 186.7 Å³/cell
Space-group type ... No. 12

a b c (Å): 4.1026 4.1026 11.4539
angles (deg): 100.14 100.14 90.19
Fractional coordinates of all 12 atoms:
Sb1 0.0000 0.0000 0.0000
Te1 0.1867 0.1867 0.3870
Te2 0.8133 0.8133 0.6130
H1 0.4097 0.4097 0.8194
H2 0.5903 0.5903 0.1806
Pd1 0.0859 0.5857 0.1811
Pd2 0.3277 0.3277 0.6342
Pd3 0.4143 0.9141 0.8189
Pd4 0.5000 0.5000 0.0000
Pd5 0.5857 0.0859 0.1811
Pd6 0.6723 0.6723 0.3658
Pd7 0.9141 0.4143 0.8189

***

3.
DFT (PBE) results for a relaxed structure of Ca2TeRh.

Total energy ... -17.3 eV for the cell shown
ρ ... 5.3 Mg/m³
Calculated volume ... 96.8 Å³/cell
Space-group type ... No. 65
E_form (uncorrected) ... -0.689 eV per atom

a b c (Å): 4.9735 4.9735 3.9141
angles (deg): 90.00 90.00 90.83
Fractional coordinates of all 4 atoms:
Ca1 0.0000 0.5000 0.0000
Ca2 0.5000 0.0000 0.0000
Te1 0.0000 0.0000 0.5000
Rh1 0.5000 0.5000 0.5000

***

4.
DFT (PBE) results for a relaxed structure of CsCu2HgS2.

Total energy ... -38.8 eV for the cell shown
ρ ... 5.1 Mg/m³
Calculated volume ... 344.0 Å³/cell
Space-group type ... No. 11
E_form (uncorrected) ... -0.303 eV per atom

a b c (Å): 6.5126 6.8882 8.2599
angles (deg): 90.00 111.82 90.00
Fractional coordinates of all 12 atoms:
Cs1 0.1724 0.2500 0.3429
Cs2 0.8276 0.7500 0.6571
Cu1 0.1375 0.2500 0.7815
Cu2 0.4757 0.7500 0.9837
Cu3 0.5243 0.2500 0.0163
Cu4 0.8625 0.7500 0.2185
Hg1 0.2458 0.7500 0.2078
Hg2 0.7542 0.2500 0.7922
S1 0.3676 0.0059 0.7897
S2 0.3676 0.4941 0.7897
S3 0.6324 0.5059 0.2103
S4 0.6324 0.9941 0.2103